1.
Below is a geometry-optimized HgSb2Pd9 structure, with properties calculated at the PBE level.

Lattice parameters (Å, degrees): 4.0522 4.0522 12.1739 90.00 90.00 90.00
Closest atoms and distances in Å follow each position.
Space group P4/mmm (No. 123)
Unique sites:
1 Hg 0.0000 0.0000 0.0000 x1  12 Pd 2.87-2.91
2 Sb 0.0000 0.0000 0.3264 x2  12 Pd 2.77-2.93
3 Pd 0.0000 0.5000 0.1711 x4  2 Sb 2.77, 8 Pd 2.87-2.91, 2 Hg 2.91
4 Pd 0.0000 0.5000 0.5000 x2  8 Pd 2.82-2.87, 4 Sb 2.93
5 Pd 0.5000 0.5000 0.0000 x1  4 Hg 2.87, 8 Pd 2.91
6 Pd 0.5000 0.5000 0.3384 x2  8 Pd 2.82-2.87, 4 Sb 2.87

Results
For the density, the calculation gives 11.6 g/cm³. The calculation puts the total energy at -59.2 eV for the cell shown. The formation energy without anion corrections comes out at -0.33 eV/atom.

2.
Below is a geometry-optimized Hg2SbPd8 structure, with properties calculated at the PBE level.

Lattice parameters (Å, degrees): 4.8393 5.4525 7.5679 101.80 92.73 99.78
Closest atoms and distances in Å follow each position.
Space group P-1 (No. 2)
Unique sites:
1 Hg 0.1699 0.2111 0.3348 x2  11 Pd 2.78-3.11
2 Sb 0.5000 0.5000 0.0000 x1  8 Pd 2.55-2.79
3 Pd 0.0533 0.7634 0.0392 x2  7 Pd 2.76-3.02, 2 Sb 2.79, 2 Hg 2.91-3.02
4 Pd 0.2395 0.4752 0.6946 x2  1 Sb 2.55, 1 Hg 2.78, 4 Pd 2.78-2.85
5 Pd 0.3089 0.7675 0.4330 x2  6 Pd 2.78-2.91, 4 Hg 2.84-2.98
6 Pd 0.3880 0.0120 0.8161 x2  1 Sb 2.69, 7 Pd 2.78-2.97, 2 Hg 2.81-2.85

Results
For the density, the calculation gives 11.9 g/cm³. The calculation puts the total energy at -48.1 eV for the cell shown. The value obtained for the excess energy over the best structure of this formula in the dataset is 0 meV/atom. The formation energy without anion corrections comes out at -0.17 eV/atom.

3.
Below is a geometry-optimized Sr3HgSb2Pd9 structure, with properties calculated at the PBE level.

Lattice parameters (Å, degrees): 6.0209 6.0209 12.1077 90.00 90.00 120.00
Closest atoms and distances in Å follow each position.
Space group P-3m1 (No. 164)
Unique sites:
1 Sr 0.0000 0.0000 0.0000 x1  6 Pd 3.01
2 Sr 0.3333 0.6667 0.7535 x2  9 Pd 3.11-3.45
3 Hg 0.0000 0.0000 0.5000 x1  6 Pd 2.80
4 Sb 0.3333 0.6667 0.1643 x2  6 Pd 2.58-2.64
5 Pd 0.0000 0.5000 0.0000 x3  2 Sb 2.64
6 Pd 0.1527 0.3055 0.3098 x6  1 Sb 2.58, 2 Pd 2.76, 1 Hg 2.80

Results
For the density, the calculation gives 7.3 g/cm³. The calculation puts the total energy at -66.8 eV for the cell shown. The formation energy without anion corrections comes out at -0.43 eV/atom.

4.
Below is a geometry-optimized Sr2HgSbPd6 structure, with properties calculated at the PBE level.

Lattice parameters (Å, degrees): 12.4983 5.6279 9.0016 90.00 133.25 90.00
Closest atoms and distances in Å follow each position.
Space group C2/m (No. 12)
Unique sites:
1 Sr 0.0269 0.0000 0.2865 x4  9 Pd 3.25-3.64, 2 Hg 3.55
2 Hg 0.0000 0.5000 0.5000 x2  6 Pd 2.76-2.77
3 Sb 0.0000 0.5000 0.0000 x2  6 Pd 2.60-2.66
4 Pd 0.1668 0.5000 0.9156 x4  1 Sb 2.66, 4 Pd 2.74-2.79, 1 Hg 2.77
5 Pd 0.2376 0.2436 0.2390 x8  1 Sb 2.60, 4 Pd 2.74-2.89, 1 Hg 2.76

Results
For the density, the calculation gives 8.2 g/cm³. The calculation puts the total energy at -88.0 eV for the cell shown. The formation energy without anion corrections comes out at -0.51 eV/atom.